Density functional theory data (GGA-PBE) for an optimized crystal structure of CaPr2Ho3.

Lattice parameters (Å, degrees): 6.7275 6.7275 10.9768 90.00 90.00 120.00
Space group P-3m1 (No. 164)
One atom of each set of equivalent atoms:
1 Ca 0.3333 0.6667 0.4368 (multiplicity 2)
2 Pr 0.0000 0.0000 0.0000 (multiplicity 1)
3 Pr 0.0000 0.0000 0.5000 (multiplicity 1)
4 Pr 0.3333 0.6667 0.0772 (multiplicity 2)
5 Ho 0.1684 0.3368 0.7577 (multiplicity 6)

Properties
* formation energy: 0.218 eV per atom
* size of the total moment: 0.00 Bohr magnetons per cell
* total DFT energy (no corrections): -3.9979 eV/atom